Entry from Alexandria via LeMat-Bulk: crystalline Mg2CrGaW at its relaxed geometry (PBE-GGA). Values from VASP.

## Properties
energy above the lowest structure with this stoichiometry = 25.5 kJ/mol of formula units
E_form = 147.7 kJ per mole of atoms
space-group type = P4/mmm (123)
calculated density = 5.575 g/cm³
M_tot = 5.36 μB/f.u.
E = -4.2274 eV per atom

```
&SYSTEM
  ibrav = 0, nat = 5, ntyp = 4
/
ATOMIC_SPECIES
Mg 24.30 Mg.upf
Cr 52.00 Cr.upf
Ga 69.72 Ga.upf
W 183.84 W.upf
ATOMIC_POSITIONS angstrom
Mg 0.0000 2.3892 0.0000
Mg 2.3892 0.0000 0.0000
Cr 0.0000 0.0000 0.0000
Ga 0.0000 0.0000 2.3099
W 2.3892 2.3892 2.3099
CELL_PARAMETERS angstrom
4.7784 0.0000 0.0000
0.0000 4.7784 0.0000
0.0000 0.0000 4.6199
```

Entry from Alexandria via LeMat-Bulk: crystalline NbNi2Sb2 at its relaxed geometry (PBE-GGA). Values from VASP.

## Properties
energy above the lowest structure with this stoichiometry = 27.5 kJ/mol of formula units
E_form (uncorrected) = 0.026 eV/atom
space-group type = P4/mbm (127)
calculated density = 8.775 g/cm³
M_tot = 0.00 μB/f.u.
E = -5.9497 eV per atom

```
&SYSTEM
  ibrav = 0, nat = 10, ntyp = 3
/
ATOMIC_SPECIES
Nb 92.91 Nb.upf
Ni 58.69 Ni.upf
Sb 121.76 Sb.upf
ATOMIC_POSITIONS angstrom
Nb 0.0000 0.0000 0.0000
Nb 3.7240 3.7240 0.0000
Ni 1.0132 2.7108 1.5481
Ni 2.7108 6.4349 1.5481
Ni 4.7373 1.0132 1.5481
Ni 6.4349 4.7373 1.5481
Sb 1.1723 4.8963 0.0000
Sb 2.5518 1.1723 0.0000
Sb 4.8963 6.2758 0.0000
Sb 6.2758 2.5518 0.0000
CELL_PARAMETERS angstrom
7.4481 0.0000 0.0000
0.0000 7.4481 0.0000
0.0000 0.0000 3.0963
```

Entry from Alexandria via LeMat-Bulk: crystalline Tb4TlRh5 at its relaxed geometry (PBE-GGA). Values from VASP.

## Properties
E_form = -65.0 kJ per mole of atoms
space-group type = P4/mmm (123)
calculated density = 11.311 g/cm³
M_tot = 0.00 μB/f.u.
E = -6.4386 eV per atom

```
&SYSTEM
  ibrav = 0, nat = 10, ntyp = 3
/
ATOMIC_SPECIES
Tb 158.93 Tb.upf
Tl 204.38 Tl.upf
Rh 102.91 Rh.upf
ATOMIC_POSITIONS angstrom
Tb 0.0000 0.0000 1.6907
Tb 0.0000 0.0000 5.0814
Tb 0.0000 0.0000 11.4803
Tb 0.0000 0.0000 14.8711
Tl 0.0000 0.0000 8.2809
Rh 1.7326 1.7326 0.0000
Rh 1.7326 1.7326 3.3662
Rh 1.7326 1.7326 6.7141
Rh 1.7326 1.7326 9.8476
Rh 1.7326 1.7326 13.1955
CELL_PARAMETERS angstrom
3.4652 0.0000 0.0000
0.0000 3.4652 0.0000
0.0000 0.0000 16.5617
```

Entry from Alexandria via LeMat-Bulk: crystalline Ce2HoRu2 at its relaxed geometry (PBE-GGA). Values from VASP.

## Properties
energy above the lowest structure with this stoichiometry = 0.0 kJ/mol of formula units
E_form = -30.1 kJ per mole of atoms
space-group type = P-1 (2)
calculated density = 9.159 g/cm³
M_tot = 0.00 μB/f.u.
E = -7.3113 eV per atom

```
&SYSTEM
  ibrav = 0, nat = 10, ntyp = 3
/
ATOMIC_SPECIES
Ce 140.12 Ce.upf
Ho 164.93 Ho.upf
Ru 101.07 Ru.upf
ATOMIC_POSITIONS angstrom
Ce -0.6335 2.2590 1.4953
Ce 0.1456 1.1414 4.7035
Ce 2.1756 4.0297 3.3199
Ce 2.9547 2.9120 6.5282
Ho -0.1436 5.8042 1.3817
Ho 2.4648 -0.6332 6.6418
Ru 0.1288 0.9373 7.7037
Ru -0.2503 4.3908 4.0767
Ru 2.5715 0.7802 3.9468
Ru 2.1924 4.2337 0.3198
CELL_PARAMETERS angstrom
4.7037 0.0000 0.0000
-1.5763 6.2196 0.0000
-0.8061 -1.0486 8.0235
```

Entry from Alexandria via LeMat-Bulk: crystalline CrMoOs2Pd at its relaxed geometry (PBE-GGA). Values from VASP.

## Properties
E_form = 138.9 kJ per mole of atoms
space-group type = P4/mmm (123)
calculated density = 12.199 g/cm³
M_tot = 0.18 μB/f.u.
E = -8.1816 eV per atom

```
&SYSTEM
  ibrav = 0, nat = 5, ntyp = 4
/
ATOMIC_SPECIES
Cr 52.00 Cr.upf
Mo 95.94 Mo.upf
Os 190.23 Os.upf
Pd 106.42 Pd.upf
ATOMIC_POSITIONS angstrom
Cr 0.0000 0.0000 0.0000
Mo 0.0000 0.0000 2.2046
Os 0.0000 2.2135 0.0000
Os 2.2135 0.0000 0.0000
Pd 2.2135 2.2135 2.2046
CELL_PARAMETERS angstrom
4.4269 0.0000 0.0000
0.0000 4.4269 0.0000
0.0000 0.0000 4.4092
```

Entry from Alexandria via LeMat-Bulk: crystalline Y5Au4 at its relaxed geometry (PBE-GGA). Values from VASP.

## Properties
energy above the lowest structure with this stoichiometry = 42.5 kJ/mol of formula units
E_form = -69.7 kJ per mole of atoms
space-group type = P6_3/mcm (193)
calculated density = 9.059 g/cm³
M_tot = 0.00 μB/f.u.
E = -5.7704 eV per atom

```
&SYSTEM
  ibrav = 0, nat = 18, ntyp = 2
/
ATOMIC_SPECIES
Y 88.91 Y.upf
Au 196.97 Au.upf
ATOMIC_POSITIONS angstrom
Y -1.2195 2.1123 1.6650
Y -3.2058 5.5527 4.9950
Y 2.4391 0.0000 1.6650
Y 1.2195 2.1123 4.9950
Y 0.0000 5.1100 0.0000
Y 0.0000 5.1100 3.3300
Y 4.4254 2.5550 0.0000
Y 4.4254 2.5550 3.3300
Y 6.4117 0.0000 4.9950
Y 3.2058 5.5527 1.6650
Au 0.0000 0.0000 0.0000
Au 0.0000 0.0000 3.3300
Au -1.7422 3.0176 4.9950
Au -2.6831 4.6473 1.6650
Au 3.4845 0.0000 4.9950
Au 1.7422 3.0176 1.6650
Au 5.3663 0.0000 1.6650
Au 2.6831 4.6473 4.9950
CELL_PARAMETERS angstrom
8.8507 0.0000 0.0000
-4.4254 7.6650 0.0000
0.0000 0.0000 6.6600
```

Entry from Alexandria via LeMat-Bulk: crystalline CuC3 at its relaxed geometry (PBE-GGA). Values from VASP.

## Properties
energy above the lowest structure with this stoichiometry = 1035.6 kJ/mol of formula units
E_form = 316.9 kJ per mole of atoms
space-group type = Fm-3m (225)
calculated density = 4.953 g/cm³
M_tot = 0.00 μB/f.u.
E = -4.6579 eV per atom

```
&SYSTEM
  ibrav = 0, nat = 4, ntyp = 2
/
ATOMIC_SPECIES
Cu 63.55 Cu.upf
C 12.01 C.upf
ATOMIC_POSITIONS angstrom
Cu 0.0000 0.0000 0.0000
C 1.2779 1.2779 1.2779
C 2.5557 2.5557 2.5557
C 3.8336 3.8336 3.8336
CELL_PARAMETERS angstrom
0.0000 2.5557 2.5557
2.5557 0.0000 2.5557
2.5557 2.5557 0.0000
```

Entry from Alexandria via LeMat-Bulk: crystalline Pu2Mn2Si3 at its relaxed geometry (PBE-GGA). Values from VASP.

## Properties
E_form (uncorrected) = -0.441 eV/atom
space-group type = Cmcm (63)
calculated density = 9.426 g/cm³
M_tot = 5.35 μB/f.u.
E = -9.4794 eV per atom

```
&SYSTEM
  ibrav = 0, nat = 14, ntyp = 3
/
ATOMIC_SPECIES
Pu 244.00 Pu.upf
Mn 54.94 Mn.upf
Si 28.09 Si.upf
ATOMIC_POSITIONS angstrom
Pu 2.0287 7.8490 5.0507
Pu 2.0287 5.9462 1.6836
Pu 2.0287 -5.9462 5.0507
Pu 2.0287 -7.8490 1.6836
Mn 2.0287 3.4178 0.3259
Mn 2.0287 3.4178 3.0412
Mn 2.0287 -3.4178 3.6930
Mn 2.0287 -3.4178 6.4083
Si 2.0287 4.9507 5.0507
Si 2.0287 1.0823 3.8485
Si 2.0287 1.0823 6.2528
Si 2.0287 -1.0823 0.4814
Si 2.0287 -1.0823 2.8857
Si 2.0287 -4.9507 1.6836
CELL_PARAMETERS angstrom
2.0287 -8.7962 0.0000
2.0287 8.7962 0.0000
0.0000 0.0000 6.7342
```

Entry from Alexandria via LeMat-Bulk: crystalline TaBeAlTl2 at its relaxed geometry (PBE-GGA). Values from VASP.

## Properties
E_form = 114.1 kJ per mole of atoms
space-group type = P4/mmm (123)
calculated density = 7.338 g/cm³
M_tot = 0.00 μB/f.u.
E = -3.6282 eV per atom

```
&SYSTEM
  ibrav = 0, nat = 5, ntyp = 4
/
ATOMIC_SPECIES
Ta 180.95 Ta.upf
Be 9.01 Be.upf
Al 26.98 Al.upf
Tl 204.38 Tl.upf
ATOMIC_POSITIONS angstrom
Ta 0.0000 0.0000 0.0000
Be 0.0000 0.0000 2.3037
Al 2.7718 2.7718 2.3037
Tl 0.0000 2.7718 0.0000
Tl 2.7718 0.0000 0.0000
CELL_PARAMETERS angstrom
5.5437 0.0000 0.0000
0.0000 5.5437 0.0000
0.0000 0.0000 4.6074
```

Entry from Alexandria via LeMat-Bulk: crystalline Tb2NdDyEr5 at its relaxed geometry (PBE-GGA). Values from VASP.

## Properties
E_form = 27.4 kJ per mole of atoms
space-group type = I4/mcm (140)
calculated density = 8.413 g/cm³
M_tot = 0.00 μB/f.u.
E = -4.3207 eV per atom

```
&SYSTEM
  ibrav = 0, nat = 18, ntyp = 4
/
ATOMIC_SPECIES
Tb 158.93 Tb.upf
Nd 144.24 Nd.upf
Dy 162.50 Dy.upf
Er 167.26 Er.upf
ATOMIC_POSITIONS angstrom
Tb 5.4245 1.0042 0.0000
Tb 1.0042 3.4162 0.0000
Tb 3.4162 1.0042 7.3787
Tb -1.0042 3.4162 7.3787
Nd 0.0000 0.0000 3.6894
Nd 0.0000 0.0000 11.0681
Dy 4.4203 0.0000 3.6894
Dy 0.0000 4.4203 3.6894
Er 0.0000 0.0000 0.0000
Er 2.5979 1.8224 -1.9653
Er 2.5979 -1.8224 5.4135
Er 2.5979 1.8224 1.9653
Er 2.5979 -1.8224 9.3440
Er 0.0000 0.0000 7.3787
Er 1.8224 6.2427 -1.9653
Er 1.8224 2.5979 5.4135
Er 1.8224 6.2427 1.9653
Er 1.8224 2.5979 9.3440
CELL_PARAMETERS angstrom
-4.4203 4.4203 7.3787
4.4203 -4.4203 7.3787
4.4203 4.4203 -7.3787
```

Entry from Alexandria via LeMat-Bulk: crystalline CaTc at its relaxed geometry (PBE-GGA). Values from VASP.

## Properties
energy above the lowest structure with this stoichiometry = 70.4 kJ/mol of formula units
E_form = 55.7 kJ per mole of atoms
space-group type = P4/m (83)
calculated density = 4.422 g/cm³
M_tot = 0.00 μB/f.u.
E = -5.6062 eV per atom

```
&SYSTEM
  ibrav = 0, nat = 16, ntyp = 2
/
ATOMIC_SPECIES
Ca 40.08 Ca.upf
Tc 98.00 Tc.upf
ATOMIC_POSITIONS angstrom
Ca 0.0220 6.5306 0.0000
Ca 2.5452 6.6902 2.2776
Ca 2.8529 2.5452 2.2776
Ca 3.0126 0.0220 0.0000
Ca 6.5306 9.5211 0.0000
Ca 6.6902 6.9980 2.2776
Ca 6.9980 2.8529 2.2776
Ca 9.5211 3.0126 0.0000
Tc 1.1320 4.4440 2.2776
Tc 3.0293 4.6553 0.0000
Tc 4.4440 8.4111 2.2776
Tc 4.6553 6.5139 0.0000
Tc 4.8878 3.0293 0.0000
Tc 5.0991 1.1320 2.2776
Tc 6.5139 4.8878 0.0000
Tc 8.4111 5.0991 2.2776
CELL_PARAMETERS angstrom
9.5431 0.0000 0.0000
0.0000 9.5431 0.0000
0.0000 0.0000 4.5552
```

Entry from Alexandria via LeMat-Bulk: crystalline SnHgPb14 at its relaxed geometry (PBE-GGA). Values from VASP.

## Properties
E_form = 0.8 kJ per mole of atoms
space-group type = Cmmm (65)
calculated density = 10.816 g/cm³
M_tot = 0.00 μB/f.u.
E = -3.5058 eV per atom

```
&SYSTEM
  ibrav = 0, nat = 16, ntyp = 3
/
ATOMIC_SPECIES
Sn 118.71 Sn.upf
Hg 200.59 Hg.upf
Pb 207.20 Pb.upf
ATOMIC_POSITIONS angstrom
Sn 0.0000 0.0000 0.0000
Hg 4.9105 0.0000 0.0000
Pb 0.0000 0.0000 4.9390
Pb 2.4553 2.5480 0.0000
Pb 2.4553 2.5480 4.9390
Pb 2.4554 0.0000 2.4158
Pb 2.4554 0.0000 7.4622
Pb 4.9105 2.5526 2.4461
Pb 4.9105 2.5526 7.4319
Pb 2.4553 -2.5480 0.0000
Pb 2.4553 -2.5480 4.9390
Pb 4.9105 0.0000 4.9390
Pb 4.9105 -2.5526 2.4461
Pb 4.9105 -2.5526 7.4319
Pb 7.3657 0.0000 2.4158
Pb 7.3657 0.0000 7.4622
CELL_PARAMETERS angstrom
4.9105 -5.0960 0.0000
4.9105 5.0960 0.0000
0.0000 0.0000 9.8780
```